# 1
LiMnCu2 | Alexandria | GGA-PBE | relaxed; calculated total energy = -4.390 eV/atom; DFT formation energy = 0.43 eV/atom; space-group type = I-42d; ρ = 5.688 g/cm³
1.0
-2.228 1.906 1.968
-2.608 -2.254 -0.769
-0.311 -5.030 7.688
Cu Mn Li
4 2 2
direct
0.620 0.125 0.250 Cu
0.875 0.870 0.750 Cu
0.375 0.380 0.750 Cu
0.130 0.625 0.250 Cu
0.000 0.000 0.000 Mn
0.750 0.250 0.500 Mn
0.500 0.500 0.000 Li
0.250 0.750 0.500 Li



# 2
Li2MnCu | Alexandria | GGA-PBE | relaxed; calculated total energy = -4.105 eV/atom; DFT formation energy = 0.17 eV/atom; space-group type = P4mm; ρ = 3.599 g/cm³
1.0
2.856 0.000 0.000
0.000 2.856 0.000
0.000 0.000 7.489
Cu Li Mn
1 2 1
direct
0.500 0.500 0.739 Cu
0.500 0.500 0.264 Li
0.000 0.000 0.962 Li
0.000 0.000 0.534 Mn



# 3
Li2MnCu | Alexandria | GGA-PBE | relaxed; calculated total energy = -4.112 eV/atom; DFT formation energy = 0.16 eV/atom; space-group type = Immm; ρ = 3.906 g/cm³
1.0
-0.991 -4.896 -1.620
1.309 -4.125 2.974
-2.753 4.436 -0.561
Cu Mn Li
1 1 2
direct
0.250 0.750 0.500 Cu
0.750 0.250 0.500 Mn
0.482 0.482 0.000 Li
0.018 0.018 0.000 Li



# 4
LiMnCu2 | Alexandria | GGA-PBE | relaxed; calculated total energy = -4.644 eV/atom; DFT formation energy = 0.17 eV/atom; space-group type = P4mm; ρ = 5.920 g/cm³
1.0
-0.917 1.710 2.332
-2.388 -1.829 0.402
3.097 -3.253 3.603
Li Mn Cu
1 1 2
direct
0.000 0.000 0.475 Li
0.500 0.500 0.770 Mn
0.500 0.500 0.245 Cu
0.000 0.000 0.010 Cu



# 5
Li2MnCu | Alexandria | GGA-PBE | relaxed; calculated total energy = -4.022 eV/atom; DFT formation energy = 0.25 eV/atom; space-group type = P4mm; ρ = 4.307 g/cm³
1.0
2.416 0.000 0.000
0.000 2.416 0.000
0.000 0.000 8.747
Mn Li Cu
1 2 1
direct
0.000 0.000 0.514 Mn
0.000 0.000 0.975 Li
0.500 0.500 0.272 Li
0.500 0.500 0.740 Cu



# 6
Li2MnCu | Alexandria | GGA-PBE | relaxed; calculated total energy = -3.875 eV/atom; DFT formation energy = 0.40 eV/atom; space-group type = I-42d; ρ = 3.588 g/cm³
1.0
6.949 0.000 0.000
0.000 6.949 0.000
3.475 3.475 2.537
Mn Li Cu
2 4 2
direct
0.250 0.750 0.500 Mn
0.500 0.500 0.000 Mn
0.375 0.350 0.750 Li
0.875 0.900 0.750 Li
0.650 0.125 0.250 Li
0.100 0.625 0.250 Li
0.000 0.000 0.000 Cu
0.750 0.250 0.500 Cu



Question: Among the records above, which one has the lowest ρ?
Answer: number 6